1.
# Tb4Y6Ho19 | the Alexandria database | GGA-PBE | optimized geometry
data_Tb4Y6Ho19
_chemical_formula_sum 'Tb4 Y6 Ho19'
_cell_length_a 10.748
_cell_length_b 10.748
_cell_length_c 10.748
_cell_angle_alpha 109.47
_cell_angle_beta 109.47
_cell_angle_gamma 109.47
_space_group_name_H-M_alt 'P 1'
_space_group_IT_number 1
_space_group_name_Hall 'P 1'
loop_
_atom_site_label
_atom_site_fract_x
_atom_site_fract_y
_atom_site_fract_z
Tb1 0.000 0.000 0.641
Tb2 0.000 0.641 0.000
Tb3 0.359 0.359 0.359
Tb4 0.641 0.000 0.000
Y1 0.129 0.629 0.500
Y2 0.371 0.500 0.871
Y3 0.500 0.129 0.629
Y4 0.500 0.871 0.371
Y5 0.629 0.500 0.129
Y6 0.871 0.371 0.500
Ho1 0.000 0.000 0.000
Ho2 0.000 0.260 0.260
Ho3 0.000 0.740 0.740
Ho4 0.018 0.805 0.340
Ho5 0.195 0.213 0.536
Ho6 0.213 0.536 0.195
Ho7 0.260 0.000 0.260
Ho8 0.260 0.260 0.000
Ho9 0.323 0.787 0.982
Ho10 0.340 0.018 0.805
Ho11 0.464 0.677 0.660
Ho12 0.536 0.195 0.213
Ho13 0.660 0.464 0.677
Ho14 0.677 0.660 0.464
Ho15 0.740 0.000 0.740
Ho16 0.740 0.740 0.000
Ho17 0.787 0.982 0.323
Ho18 0.805 0.340 0.018
Ho19 0.982 0.323 0.787
# DFT total energy in eV per atom: -4.586
# SG: No. 197
# Energy relative to the elements in eV/f.u.: 11.300

=====

2.
# Tb6Y8Ho | the Alexandria database | GGA-PBE | optimized geometry
data_Tb6Y8Ho
_chemical_formula_sum 'Tb6 Y8 Ho1'
_cell_length_a 8.658
_cell_length_b 8.658
_cell_length_c 8.658
_cell_angle_alpha 63.11
_cell_angle_beta 63.11
_cell_angle_gamma 63.11
_space_group_name_H-M_alt 'P 1'
_space_group_IT_number 1
_space_group_name_Hall 'P 1'
loop_
_atom_site_label
_atom_site_fract_x
_atom_site_fract_y
_atom_site_fract_z
Tb1 0.041 0.610 0.725
Tb2 0.275 0.959 0.390
Tb3 0.390 0.275 0.959
Tb4 0.610 0.725 0.041
Tb5 0.725 0.041 0.610
Tb6 0.959 0.390 0.275
Y1 0.077 0.077 0.077
Y2 0.221 0.610 0.245
Y3 0.245 0.221 0.610
Y4 0.390 0.755 0.779
Y5 0.610 0.245 0.221
Y6 0.755 0.779 0.390
Y7 0.779 0.390 0.755
Y8 0.923 0.923 0.923
Ho1 0.500 0.500 0.500
# DFT total energy in eV per atom: -5.478
# Excess energy over the best structure of this formula in the dataset in meV per atom: 0
# SG: No. 148
# Energy relative to the elements in eV/f.u.: 1.899

=====

3.
# TbYHo2 | the Alexandria database | GGA-PBE | optimized geometry
data_TbYHo2
_chemical_formula_sum 'Tb4 Y4 Ho8'
_cell_length_a 8.006
_cell_length_b 8.006
_cell_length_c 8.006
_cell_angle_alpha 90.00
_cell_angle_beta 90.00
_cell_angle_gamma 90.00
_space_group_name_H-M_alt 'P 1'
_space_group_IT_number 1
_space_group_name_Hall 'P 1'
loop_
_atom_site_label
_atom_site_fract_x
_atom_site_fract_y
_atom_site_fract_z
Tb1 0.000 0.000 0.000
Tb2 0.000 0.500 0.500
Tb3 0.500 0.000 0.500
Tb4 0.500 0.500 0.000
Y1 0.000 0.000 0.500
Y2 0.000 0.500 0.000
Y3 0.500 0.000 0.000
Y4 0.500 0.500 0.500
Ho1 0.250 0.250 0.250
Ho2 0.250 0.250 0.750
Ho3 0.250 0.750 0.250
Ho4 0.250 0.750 0.750
Ho5 0.750 0.250 0.250
Ho6 0.750 0.250 0.750
Ho7 0.750 0.750 0.250
Ho8 0.750 0.750 0.750
# DFT total energy in eV per atom: -4.921
# Excess energy over the best structure of this formula in the dataset in meV per atom: 136
# SG: No. 225
# Energy relative to the elements in eV/f.u.: 0.566

=====

4.
# Tb2YHo7 | the Alexandria database | GGA-PBE | optimized geometry
data_Tb2YHo7
_chemical_formula_sum 'Tb2 Y1 Ho7'
_cell_length_a 6.125
_cell_length_b 7.068
_cell_length_c 7.911
_cell_angle_alpha 77.00
_cell_angle_beta 74.99
_cell_angle_gamma 73.16
_space_group_name_H-M_alt 'P 1'
_space_group_IT_number 1
_space_group_name_Hall 'P 1'
loop_
_atom_site_label
_atom_site_fract_x
_atom_site_fract_y
_atom_site_fract_z
Tb1 0.200 0.300 0.100
Tb2 0.800 0.700 0.900
Y1 0.000 0.000 0.500
Ho1 0.000 0.500 0.500
Ho2 0.200 0.800 0.099
Ho3 0.400 0.100 0.700
Ho4 0.402 0.599 0.700
Ho5 0.598 0.401 0.300
Ho6 0.600 0.900 0.300
Ho7 0.800 0.200 0.901
# DFT total energy in eV per atom: -4.758
# Excess energy over the best structure of this formula in the dataset in meV per atom: 0
# SG: No. 2
# Energy relative to the elements in eV/f.u.: 0.187

=====

5.
# Tb2Y7Ho | the Alexandria database | GGA-PBE | optimized geometry
data_Tb2Y7Ho
_chemical_formula_sum 'Tb2 Y7 Ho1'
_cell_length_a 14.993
_cell_length_b 14.993
_cell_length_c 3.468
_cell_angle_alpha 90.00
_cell_angle_beta 90.00
_cell_angle_gamma 155.13
_space_group_name_H-M_alt 'P 1'
_space_group_IT_number 1
_space_group_name_Hall 'P 1'
loop_
_atom_site_label
_atom_site_fract_x
_atom_site_fract_y
_atom_site_fract_z
Tb1 0.208 0.792 0.000
Tb2 0.792 0.208 0.000
Y1 0.143 0.341 0.000
Y2 0.311 0.689 0.500
Y3 0.341 0.143 0.000
Y4 0.500 0.500 0.000
Y5 0.659 0.857 0.000
Y6 0.689 0.311 0.500
Y7 0.857 0.659 0.000
Ho1 0.000 0.000 0.500
# DFT total energy in eV per atom: -5.698
# Excess energy over the best structure of this formula in the dataset in meV per atom: 0
# SG: No. 65
# Energy relative to the elements in eV/f.u.: 2.104

=====

6.
# Tb6YHo4 | the Alexandria database | GGA-PBE | optimized geometry
data_Tb6YHo4
_chemical_formula_sum 'Tb6 Y1 Ho4'
_cell_length_a 8.507
_cell_length_b 8.507
_cell_length_c 8.507
_cell_angle_alpha 127.61
_cell_angle_beta 127.61
_cell_angle_gamma 77.26
_space_group_name_H-M_alt 'P 1'
_space_group_IT_number 1
_space_group_name_Hall 'P 1'
loop_
_atom_site_label
_atom_site_fract_x
_atom_site_fract_y
_atom_site_fract_z
Tb1 0.000 0.500 0.500
Tb2 0.048 0.578 0.000
Tb3 0.422 0.422 0.470
Tb4 0.500 0.000 0.500
Tb5 0.578 0.048 0.000
Tb6 0.952 0.952 0.530
Y1 0.000 0.000 0.000
Ho1 0.257 0.257 0.671
Ho2 0.414 0.743 0.000
Ho3 0.586 0.586 0.329
Ho4 0.743 0.414 0.000
# DFT total energy in eV per atom: -4.357
# Excess energy over the best structure of this formula in the dataset in meV per atom: 295
# SG: No. 121
# Energy relative to the elements in eV/f.u.: 4.626

=====

7.
# Tb4Y3Ho | the Alexandria database | GGA-PBE | optimized geometry
data_Tb4Y3Ho
_chemical_formula_sum 'Tb8 Y6 Ho2'
_cell_length_a 23.454
_cell_length_b 3.483
_cell_length_c 6.685
_cell_angle_alpha 90.00
_cell_angle_beta 106.48
_cell_angle_gamma 90.00
_space_group_name_H-M_alt 'P 1'
_space_group_IT_number 1
_space_group_name_Hall 'P 1'
loop_
_atom_site_label
_atom_site_fract_x
_atom_site_fract_y
_atom_site_fract_z
Tb1 0.124 0.000 0.368
Tb2 0.240 0.500 0.241
Tb3 0.260 0.000 0.759
Tb4 0.376 0.500 0.632
Tb5 0.624 0.500 0.368
Tb6 0.740 0.000 0.241
Tb7 0.760 0.500 0.759
Tb8 0.876 0.000 0.632
Y1 0.000 0.000 0.500
Y2 0.125 0.000 0.882
Y3 0.375 0.500 0.118
Y4 0.500 0.500 0.500
Y5 0.625 0.500 0.882
Y6 0.875 0.000 0.118
Ho1 0.000 0.500 0.000
Ho2 0.500 0.000 0.000
# DFT total energy in eV per atom: -5.143
# Excess energy over the best structure of this formula in the dataset in meV per atom: 162
# SG: No. 12
# Energy relative to the elements in eV/f.u.: 1.349

=====

8.
# TbY2Ho | the Alexandria database | GGA-PBE | optimized geometry
data_TbY2Ho
_chemical_formula_sum 'Tb3 Y6 Ho3'
_cell_length_a 3.558
_cell_length_b 3.558
_cell_length_c 34.788
_cell_angle_alpha 90.00
_cell_angle_beta 90.00
_cell_angle_gamma 120.00
_space_group_name_H-M_alt 'P 1'
_space_group_IT_number 1
_space_group_name_Hall 'P 1'
loop_
_atom_site_label
_atom_site_fract_x
_atom_site_fract_y
_atom_site_fract_z
Tb1 0.000 0.000 0.000
Tb2 0.333 0.667 0.667
Tb3 0.667 0.333 0.333
Y1 0.000 0.000 0.250
Y2 0.000 0.000 0.750
Y3 0.333 0.667 0.417
Y4 0.333 0.667 0.916
Y5 0.667 0.333 0.084
Y6 0.667 0.333 0.583
Ho1 0.000 0.000 0.500
Ho2 0.333 0.667 0.167
Ho3 0.667 0.333 0.833
# DFT total energy in eV per atom: -5.512
# Excess energy over the best structure of this formula in the dataset in meV per atom: 18
# SG: No. 166
# Energy relative to the elements in eV/f.u.: 0.090

=====

9.
# Tb9Y2Ho | the Alexandria database | GGA-PBE | optimized geometry
data_Tb9Y2Ho
_chemical_formula_sum 'Tb9 Y2 Ho1'
_cell_length_a 11.260
_cell_length_b 11.260
_cell_length_c 3.491
_cell_angle_alpha 90.00
_cell_angle_beta 90.00
_cell_angle_gamma 120.00
_space_group_name_H-M_alt 'P 1'
_space_group_IT_number 1
_space_group_name_Hall 'P 1'
loop_
_atom_site_label
_atom_site_fract_x
_atom_site_fract_y
_atom_site_fract_z
Tb1 0.000 0.500 0.000
Tb2 0.175 0.350 0.500
Tb3 0.175 0.825 0.500
Tb4 0.350 0.175 0.500
Tb5 0.500 0.000 0.000
Tb6 0.500 0.500 0.000
Tb7 0.650 0.825 0.500
Tb8 0.825 0.175 0.500
Tb9 0.825 0.650 0.500
Y1 0.333 0.667 0.000
Y2 0.667 0.333 0.000
Ho1 0.000 0.000 0.000
# DFT total energy in eV per atom: -4.876
# Excess energy over the best structure of this formula in the dataset in meV per atom: 35
# SG: No. 191
# Energy relative to the elements in eV/f.u.: 0.660

=====

10.
# Tb6Y8Ho | the Alexandria database | GGA-PBE | optimized geometry
data_Tb6Y8Ho
_chemical_formula_sum 'Tb6 Y8 Ho1'
_cell_length_a 8.160
_cell_length_b 8.160
_cell_length_c 8.160
_cell_angle_alpha 73.18
_cell_angle_beta 73.18
_cell_angle_gamma 73.18
_space_group_name_H-M_alt 'P 1'
_space_group_IT_number 1
_space_group_name_Hall 'P 1'
loop_
_atom_site_label
_atom_site_fract_x
_atom_site_fract_y
_atom_site_fract_z
Tb1 0.112 0.570 0.785
Tb2 0.215 0.888 0.430
Tb3 0.430 0.215 0.888
Tb4 0.570 0.785 0.112
Tb5 0.785 0.112 0.570
Tb6 0.888 0.430 0.215
Y1 0.087 0.087 0.087
Y2 0.144 0.270 0.572
Y3 0.270 0.572 0.144
Y4 0.428 0.856 0.730
Y5 0.572 0.144 0.270
Y6 0.730 0.428 0.856
Y7 0.856 0.730 0.428
Y8 0.913 0.913 0.913
Ho1 0.500 0.500 0.500
# DFT total energy in eV per atom: -5.422
# Excess energy over the best structure of this formula in the dataset in meV per atom: 56
# SG: No. 148
# Energy relative to the elements in eV/f.u.: 2.739

=====

11.
# Tb4YHo8 | the Alexandria database | GGA-PBE | optimized geometry
data_Tb4YHo8
_chemical_formula_sum 'Tb4 Y1 Ho8'
_cell_length_a 9.963
_cell_length_b 9.963
_cell_length_c 9.963
_cell_angle_alpha 42.81
_cell_angle_beta 42.81
_cell_angle_gamma 42.81
_space_group_name_H-M_alt 'P 1'
_space_group_IT_number 1
_space_group_name_Hall 'P 1'
loop_
_atom_site_label
_atom_site_fract_x
_atom_site_fract_y
_atom_site_fract_z
Tb1 0.000 0.000 0.000
Tb2 0.000 0.500 0.500
Tb3 0.500 0.000 0.500
Tb4 0.500 0.500 0.000
Y1 0.500 0.500 0.500
Ho1 0.195 0.751 0.751
Ho2 0.216 0.216 0.216
Ho3 0.249 0.249 0.805
Ho4 0.249 0.805 0.249
Ho5 0.751 0.195 0.751
Ho6 0.751 0.751 0.195
Ho7 0.784 0.784 0.784
Ho8 0.805 0.249 0.249
# DFT total energy in eV per atom: -4.517
# SG: No. 166
# Energy relative to the elements in eV/f.u.: 2.893

=====

12.
# Tb7Y4Ho2 | the Alexandria database | GGA-PBE | optimized geometry
data_Tb7Y4Ho2
_chemical_formula_sum 'Tb7 Y4 Ho2'
_cell_length_a 6.094
_cell_length_b 6.094
_cell_length_c 13.150
_cell_angle_alpha 90.00
_cell_angle_beta 90.00
_cell_angle_gamma 120.00
_space_group_name_H-M_alt 'P 1'
_space_group_IT_number 1
_space_group_name_Hall 'P 1'
loop_
_atom_site_label
_atom_site_fract_x
_atom_site_fract_y
_atom_site_fract_z
Tb1 0.000 0.000 0.000
Tb2 0.000 0.363 0.217
Tb3 0.000 0.637 0.783
Tb4 0.363 0.000 0.217
Tb5 0.363 0.363 0.783
Tb6 0.637 0.000 0.783
Tb7 0.637 0.637 0.217
Y1 0.000 0.000 0.393
Y2 0.000 0.000 0.607
Y3 0.333 0.667 0.500
Y4 0.667 0.333 0.500
Ho1 0.333 0.667 0.000
Ho2 0.667 0.333 0.000
# DFT total energy in eV per atom: -5.026
# SG: No. 162
# Energy relative to the elements in eV/f.u.: 2.083

=====

Question: Among the records above, which one has the lowest energy relative to the elements?
Answer: TbY2Ho

=====

Question: Which formula does entry 1 have?
Answer: Tb4Y6Ho19

=====

Question: What is the DFT total energy in the fourth record?
Answer: -4.758 eV per atom

=====

Question: Which of these has the highest DFT total energy?
Answer: Tb6YHo4